Si2Sn2Pb | PBE | relaxed

extended XYZ file:
```
10
Lattice="-2.1710 -2.3037 7.2634 -2.3489 -6.9823 -2.9167 3.5115 -1.4303 0.5960" Properties=species:S:1:pos:R:3 pbc="T T T"
Pb 0.0000 0.0000 0.0000
Sn -0.8489 -4.9880 5.3906
Pb -2.2600 -4.6430 2.1733
Si -1.1543 -2.9622 -0.3074
Si -3.3656 -6.3238 4.6541
Sn -0.1595 -5.7283 -0.4479
Si -2.9234 -7.0843 0.2236
Si -1.5965 -2.2017 4.1231
Sn -1.6495 -8.0825 2.6815
Sn 0.6411 -2.6338 2.2612
```

Raw total energy = -41.98 eV for the cell shown
Symmetry = No. 127
E_form (uncorrected) = 314 meV per atom